## Cu2Ag (PBE)

Data for crystalline Cu2Ag at its relaxed geometry.

Values from the calculation:
E (Ry per atom): -0.2445
Energy relative to the lowest polymorph listed for this composition (kJ/mol of atoms): 4.6
V (Å³/f.u.): 42

a = 7.1396 Å, b = 7.1396 Å, c = 6.5496 Å
α = 91.14°, β = 91.14°, γ = 22.11°
Closest atoms and distances in Å follow each position.
Fractional coordinates of all 9 atoms:
Ag (0.8918, 0.8918, 0.3162)  6 Cu 2.63-2.91, 6 Ag 2.74-2.87
Ag (0.2163, 0.2163, 0.3304)  8 Cu 2.63-2.75, 4 Ag 2.74-2.82
Ag (0.4470, 0.4470, 0.6849)  8 Cu 2.63-2.80, 4 Ag 2.74-2.87
Cu (0.0119, 0.0119, 0.0123)  7 Cu 2.55-2.74, 3 Ag 2.63-2.69
Cu (0.5560, 0.5560, 0.3380)  7 Cu 2.60-2.79, 5 Ag 2.63-2.76
Cu (0.1149, 0.1149, 0.6719)  9 Cu 2.56-2.74, 3 Ag 2.67-2.73
Cu (0.7727, 0.7727, 0.6754)  7 Cu 2.54-2.74, 4 Ag 2.74-2.80
Cu (0.3246, 0.3246, 0.9850)  6 Cu 2.54-2.74, 4 Ag 2.63-2.75
Cu (0.6650, 0.6650, 0.9860)  10 Cu 2.55-2.79, 2 Ag 2.72